Computed, not measured: a relaxed structure of Li2Ga8Au at the PBE-GGA level of DFT.

CIF file:
```
data_Li2Ga8Au
_cell_length_a 16.997
_cell_length_b 4.172
_cell_length_c 5.720
_cell_angle_alpha 90.00
_cell_angle_beta 100.17
_cell_angle_gamma 90.00
_space_group_name_H-M_alt 'C 1 2/m 1'
_space_group_IT_number 12
loop_
_space_group_symop_operation_xyz
'x,y,z'
'-x,-y,-z'
'-x,y,-z'
'x,-y,z'
'x+1/2,y+1/2,z'
'-x+1/2,-y+1/2,-z'
'-x+1/2,y+1/2,-z'
'x+1/2,-y+1/2,z'
loop_
_atom_site_label
_atom_site_type_symbol
_atom_site_fract_x
_atom_site_fract_y
_atom_site_fract_z
Li1 Li 0.200 0.000 0.105
Ga1 Ga 0.023 0.000 0.801
Ga2 Ga 0.129 0.500 0.299
Ga3 Ga 0.135 0.500 0.828
Ga4 Ga 0.199 0.000 0.597
Au1 Au 0.000 0.500 0.500
```

Results
**Density**: 6.39 Mg/m³
**Formation energy from the elements**: -0.1563 eV per atom


Computed, not measured: a relaxed structure of Li2Ga3Au3 at the PBE-GGA level of DFT.

CIF file:
```
data_Li2Ga3Au3
_cell_length_a 7.8729
_cell_length_b 7.8729
_cell_length_c 5.3606
_cell_angle_alpha 90.00
_cell_angle_beta 90.00
_cell_angle_gamma 120.00
_space_group_name_H-M_alt 'P 63/m c m'
_space_group_IT_number 193
_space_group_name_Hall '-P 6c 2'
loop_
_atom_site_label
_atom_site_type_symbol
_atom_site_fract_x
_atom_site_fract_y
_atom_site_fract_z
Li1 Li 0.3333 0.6667 0.0000
Ga1 Ga 0.0000 0.3038 0.2500
Au1 Au 0.0000 0.3556 0.7500
```

Results
**Density**: 9.39 Mg/m³
**Formation energy from the elements**: -0.3822 eV per atom


Computed, not measured: a relaxed structure of LiGa3Au3 at the PBE-GGA level of DFT.

CIF file:
```
data_LiGa3Au3
_cell_length_a 7.7023
_cell_length_b 7.7023
_cell_length_c 15.6273
_cell_angle_alpha 90.00
_cell_angle_beta 90.00
_cell_angle_gamma 120.00
_space_group_name_H-M_alt 'R -3'
_space_group_IT_number 148
_space_group_name_Hall '-R 3'
loop_
_atom_site_label
_atom_site_type_symbol
_atom_site_fract_x
_atom_site_fract_y
_atom_site_fract_z
Li1 Li 0.0000 0.0000 0.1677
Ga1 Ga 0.0018 0.6619 0.3861
Au1 Au 0.0019 0.6796 0.5555
```

Results
**Density**: 10.01 Mg/m³
**Formation energy from the elements**: -0.3312 eV per atom


Computed, not measured: a relaxed structure of LiGa2Au at the PBE-GGA level of DFT.

CIF file:
```
data_LiGa2Au
_cell_length_a 3.081
_cell_length_b 4.217
_cell_length_c 12.132
_cell_angle_alpha 90.00
_cell_angle_beta 90.00
_cell_angle_gamma 90.00
_space_group_name_H-M_alt 'I m m m'
_space_group_IT_number 71
_space_group_name_Hall '-I 2 2'
loop_
_atom_site_label
_atom_site_type_symbol
_atom_site_fract_x
_atom_site_fract_y
_atom_site_fract_z
Li1 Li 0.000 0.000 0.000
Ga1 Ga 0.000 0.000 0.289
Au1 Au 0.000 0.000 0.500
```

Results
**Density**: 7.23 Mg/m³
**Formation energy from the elements**: -0.2071 eV per atom


Computed, not measured: a relaxed structure of Li2GaAu3 at the PBE-GGA level of DFT.

CIF file:
```
data_Li2GaAu3
_cell_length_a 13.906
_cell_length_b 5.415
_cell_length_c 5.192
_cell_angle_alpha 90.00
_cell_angle_beta 94.70
_cell_angle_gamma 90.00
_space_group_name_H-M_alt 'C 1 2/c 1'
_space_group_IT_number 15
loop_
_space_group_symop_operation_xyz
'x,y,z'
'-x,-y,-z'
'-x,y,-z+1/2'
'x,-y,z+1/2'
'x+1/2,y+1/2,z'
'-x+1/2,-y+1/2,-z'
'-x+1/2,y+1/2,-z+1/2'
'x+1/2,-y+1/2,z+1/2'
loop_
_atom_site_label
_atom_site_type_symbol
_atom_site_fract_x
_atom_site_fract_y
_atom_site_fract_z
Li1 Li 0.170 0.121 0.084
Ga1 Ga 0.000 0.370 0.250
Au1 Au 0.000 0.120 0.750
Au2 Au 0.168 0.380 0.571
```

Results
**Density**: 11.50 Mg/m³
**Formation energy from the elements**: -0.4388 eV per atom


Computed, not measured: a relaxed structure of LiGaAu5 at the PBE-GGA level of DFT.

CIF file:
```
data_LiGaAu5
_cell_length_a 5.928
_cell_length_b 5.945
_cell_length_c 7.167
_cell_angle_alpha 90.00
_cell_angle_beta 90.00
_cell_angle_gamma 90.00
_space_group_name_H-M_alt 'C m m m'
_space_group_IT_number 65
_space_group_name_Hall '-C 2 2'
loop_
_atom_site_label
_atom_site_type_symbol
_atom_site_fract_x
_atom_site_fract_y
_atom_site_fract_z
Li1 Li 0.000 0.000 0.000
Ga1 Ga 0.000 0.500 0.500
Au1 Au 0.000 0.500 0.000
Au2 Au 0.250 0.250 0.275
```

Results
**Density**: 13.96 Mg/m³
**Formation energy from the elements**: -0.2566 eV per atom


Computed, not measured: a relaxed structure of LiGa2Au at the PBE-GGA level of DFT.

CIF file:
```
data_LiGa2Au
_cell_length_a 2.977
_cell_length_b 2.977
_cell_length_c 7.822
_cell_angle_alpha 90.00
_cell_angle_beta 90.00
_cell_angle_gamma 90.00
_space_group_name_H-M_alt 'P 4/m m m'
_space_group_IT_number 123
_space_group_name_Hall '-P 4 2'
loop_
_atom_site_label
_atom_site_type_symbol
_atom_site_fract_x
_atom_site_fract_y
_atom_site_fract_z
Li1 Li 0.000 0.000 0.000
Ga1 Ga 0.500 0.500 0.252
Au1 Au 0.000 0.000 0.500
```

Results
**Density**: 8.22 Mg/m³
**Formation energy from the elements**: -0.2050 eV per atom


Computed, not measured: a relaxed structure of Li3GaAu2 at the PBE-GGA level of DFT.

CIF file:
```
data_Li3GaAu2
_cell_length_a 5.547
_cell_length_b 4.222
_cell_length_c 8.109
_cell_angle_alpha 90.00
_cell_angle_beta 97.23
_cell_angle_gamma 90.00
_space_group_name_H-M_alt 'P 1 21/m 1'
_space_group_IT_number 11
loop_
_space_group_symop_operation_xyz
'x,y,z'
'-x,-y,-z'
'-x,y+1/2,-z'
'x,-y+1/2,z'
loop_
_atom_site_label
_atom_site_type_symbol
_atom_site_fract_x
_atom_site_fract_y
_atom_site_fract_z
Li1 Li 0.082 0.250 0.257
Li2 Li 0.170 0.250 0.928
Li3 Li 0.343 0.750 0.431
Ga1 Ga 0.416 0.750 0.774
Au1 Au 0.153 0.250 0.598
Au2 Au 0.312 0.750 0.100
```

Results
**Density**: 8.54 Mg/m³
**Formation energy from the elements**: -0.4725 eV per atom


Computed, not measured: a relaxed structure of LiGa2Au5 at the PBE-GGA level of DFT.

CIF file:
```
data_LiGa2Au5
_cell_length_a 4.493
_cell_length_b 15.762
_cell_length_c 4.578
_cell_angle_alpha 90.00
_cell_angle_beta 118.53
_cell_angle_gamma 90.00
_space_group_name_H-M_alt 'P 1 21/m 1'
_space_group_IT_number 11
loop_
_space_group_symop_operation_xyz
'x,y,z'
'-x,-y,-z'
'-x,y+1/2,-z'
'x,-y+1/2,z'
loop_
_atom_site_label
_atom_site_type_symbol
_atom_site_fract_x
_atom_site_fract_y
_atom_site_fract_z
Li1 Li 0.192 0.250 0.411
Ga1 Ga 0.088 0.585 0.165
Au1 Au 0.150 0.750 0.263
Au2 Au 0.241 0.064 0.486
Au3 Au 0.455 0.657 0.890
```

Results
**Density**: 13.19 Mg/m³
**Formation energy from the elements**: -0.2556 eV per atom


Computed, not measured: a relaxed structure of Li6Ga5Au at the PBE-GGA level of DFT.

CIF file:
```
data_Li6Ga5Au
_cell_length_a 3.868
_cell_length_b 12.095
_cell_length_c 8.099
_cell_angle_alpha 90.00
_cell_angle_beta 90.00
_cell_angle_gamma 90.00
_space_group_name_H-M_alt 'C m m m'
_space_group_IT_number 65
_space_group_name_Hall '-C 2 2'
loop_
_atom_site_label
_atom_site_type_symbol
_atom_site_fract_x
_atom_site_fract_y
_atom_site_fract_z
Li1 Li 0.000 0.000 0.249
Li2 Li 0.000 0.333 0.248
Ga1 Ga 0.000 0.164 0.500
Ga2 Ga 0.000 0.165 0.000
Ga3 Ga 0.000 0.500 0.000
Au1 Au 0.000 0.500 0.500
```

Results
**Density**: 5.15 Mg/m³
**Formation energy from the elements**: -0.3253 eV per atom


Computed, not measured: a relaxed structure of LiGa4Au at the PBE-GGA level of DFT.

CIF file:
```
data_LiGa4Au
_cell_length_a 4.709
_cell_length_b 5.352
_cell_length_c 9.213
_cell_angle_alpha 73.39
_cell_angle_beta 75.56
_cell_angle_gamma 89.43
_space_group_name_H-M_alt 'P -1'
_space_group_IT_number 2
loop_
_space_group_symop_operation_xyz
'x,y,z'
'-x,-y,-z'
loop_
_atom_site_label
_atom_site_type_symbol
_atom_site_fract_x
_atom_site_fract_y
_atom_site_fract_z
Li1 Li 0.248 0.181 0.000
Ga1 Ga 0.084 0.034 0.329
Ga2 Ga 0.169 0.600 0.166
Ga3 Ga 0.334 0.766 0.834
Ga4 Ga 0.415 0.364 0.671
Au1 Au 0.000 0.500 0.500
Au2 Au 0.500 0.000 0.500
```

Results
**Density**: 7.46 Mg/m³
**Formation energy from the elements**: -0.1349 eV per atom


Computed, not measured: a relaxed structure of Li4GaAu5 at the PBE-GGA level of DFT.

CIF file:
```
data_Li4GaAu5
_cell_length_a 8.152
_cell_length_b 8.152
_cell_length_c 5.034
_cell_angle_alpha 90.00
_cell_angle_beta 90.00
_cell_angle_gamma 90.00
_space_group_name_H-M_alt 'I 4'
_space_group_IT_number 79
loop_
_space_group_symop_operation_xyz
'x,y,z'
'-y,x,z'
'-x,-y,z'
'y,-x,z'
'x+1/2,y+1/2,z+1/2'
'-y+1/2,x+1/2,z+1/2'
'-x+1/2,-y+1/2,z+1/2'
'y+1/2,-x+1/2,z+1/2'
loop_
_atom_site_label
_atom_site_type_symbol
_atom_site_fract_x
_atom_site_fract_y
_atom_site_fract_z
Li1 Li 0.139 0.244 0.000
Ga1 Ga 0.000 0.000 0.294
Au1 Au 0.000 0.000 0.782
Au2 Au 0.047 0.331 0.493
```

Results
**Density**: 10.74 Mg/m³
**Formation energy from the elements**: -0.3445 eV per atom